Entry 1:
Computed, not measured: a PBEsol-optimized structure of Fe2CuPt at the meta-GGA SCAN level of DFT.

Computed properties:
density of states at the Fermi level	4.2	states/eV per cell
E_form	-0.230	eV per atom

abc: 3.625 3.625 7.551
angles: 90.00 90.00 90.00
Fractional positions:
Fe (0.000, 0.500, 0.250)
Fe (0.000, 0.500, 0.750)
Fe (0.500, 0.000, 0.250)
Fe (0.500, 0.000, 0.750)
Cu (0.000, 0.000, 0.000)
Cu (0.500, 0.500, 0.500)
Pt (0.000, 0.000, 0.500)
Pt (0.500, 0.500, 0.000)

---

Entry 2:
Computed, not measured: a PBEsol-optimized structure of Fe2CuPt at the meta-GGA SCAN level of DFT.

Computed properties:
density of states at the Fermi level	11.5	states/eV per cell
E_form	-0.196	eV per atom

abc: 5.828 5.828 5.828
angles: 90.00 90.00 90.00
Fractional positions:
Fe (0.000, 0.000, 0.000)
Fe (0.000, 0.500, 0.500)
Fe (0.250, 0.250, 0.250)
Fe (0.250, 0.750, 0.750)
Fe (0.500, 0.000, 0.500)
Fe (0.500, 0.500, 0.000)
Fe (0.750, 0.250, 0.750)
Fe (0.750, 0.750, 0.250)
Cu (0.000, 0.000, 0.500)
Cu (0.000, 0.500, 0.000)
Cu (0.500, 0.000, 0.000)
Cu (0.500, 0.500, 0.500)
Pt (0.250, 0.250, 0.750)
Pt (0.250, 0.750, 0.250)
Pt (0.750, 0.250, 0.250)
Pt (0.750, 0.750, 0.750)